Record 1
POs2Rh | the Alexandria database | PBE | optimized geometry; formation energy from the elements = 0.136 eV per atom; crystal system = monoclinic
1.0
-4.079 -2.470 -0.016
-2.109 -4.107 1.195
-1.082 1.680 4.029
Os P Rh
2 1 1
Cartesian
-7.197 -4.931 5.042 Os
-2.508 -0.530 3.361 Os
-3.767 -2.466 2.793 P
-4.707 -4.314 1.826 Rh

Record 2
POs4Rh | the Alexandria database | PBE | optimized geometry; formation energy from the elements = 1.080 eV per atom; crystal system = cubic
1.0
0.000 3.634 3.634
3.634 0.000 3.634
3.634 3.634 0.000
Os Rh P
4 1 1
Cartesian
4.547 4.547 4.547 Os
2.720 2.720 4.547 Os
2.720 4.547 2.720 Os
4.547 2.720 2.720 Os
0.000 0.000 0.000 Rh
1.817 1.817 1.817 P

Record 3
P2OsRh | the Alexandria database | PBE | optimized geometry; formation energy from the elements = 0.278 eV per atom; crystal system = orthorhombic
1.0
-2.196 -0.977 -1.737
1.612 -1.858 1.657
-4.957 0.859 5.784
P Os Rh
2 1 1
Cartesian
-4.954 0.858 5.781 P
-2.481 0.430 2.895 P
-4.010 -0.774 4.298 Os
-1.532 -1.203 1.406 Rh